(1)
Pa2Ni4Ge | GGA-PBE | relaxed

Cell: 6.0028 6.0028 4.8463 Å, 90.00 90.00 131.24°
Closest atoms and distances in Å follow each position.
Fractional coordinates of all 7 atoms:
Pa: 0.1413 0.8587 0.0000  5 Ni 2.45-2.73
Pa: 0.8587 0.1413 0.0000  5 Ni 2.45-2.73
Ni: 0.1063 0.8937 0.5000  1 Ni 2.32, 2 Pa 2.45
Ni: 0.3913 0.6087 0.0000  1 Ni 2.38, 2 Pa 2.50
Ni: 0.6087 0.3913 0.0000  1 Ni 2.38, 2 Pa 2.50
Ni: 0.8937 0.1063 0.5000  1 Ni 2.32, 2 Pa 2.45
Ge: 0.5000 0.5000 0.5000  8 Ni 2.70-2.74

Mass density (g cm⁻³): 9.73
Crystal system: orthorhombic
Total moment (μB/atom): 0.0000
Symmetry: Cmmm (65)
Energy relative to the elements (meV/atom): 325



(2)
Rb3Ho3BiSe8 | GGA-PBE | relaxed

Cell: 8.3585 8.3585 9.4934 Å, 116.19 116.19 59.94°
Closest atoms and distances in Å follow each position.
Fractional coordinates of all 15 atoms:
Rb: 0.0000 0.0000 0.0000  6 Se 3.47-3.48
Rb: 0.0000 0.5000 0.0000  6 Se 3.48
Rb: 0.5000 0.0000 0.0000  6 Se 3.48
Ho: 0.0000 0.5000 0.5000  6 Se 2.87-2.89
Ho: 0.5000 0.0000 0.5000  6 Se 2.87-2.89
Ho: 0.5000 0.5000 0.5000  6 Se 2.87-2.89
Bi: 0.0000 0.0000 0.5000  6 Se 2.93
Se: 0.2348 0.2348 0.6953  2 Ho 2.87, 1 Bi 2.93
Se: 0.2348 0.7261 0.6952  2 Ho 2.87-2.88, 1 Bi 2.93
Se: 0.2686 0.2686 0.3061  3 Ho 2.89
Se: 0.2739 0.7652 0.3048  2 Ho 2.87-2.88, 1 Bi 2.93
Se: 0.7261 0.2348 0.6952  2 Ho 2.87-2.88, 1 Bi 2.93
Se: 0.7314 0.7314 0.6939  3 Ho 2.89
Se: 0.7652 0.2739 0.3048  2 Ho 2.87-2.88, 1 Bi 2.93
Se: 0.7652 0.7652 0.3047  2 Ho 2.87, 1 Bi 2.93

Mass density (g cm⁻³): 5.35
Energy relative to the elements, uncorrected (eV per formula unit): -21.34
Crystal system: monoclinic
Total moment (μB/atom): 0.0000
Symmetry: C2/m (12)



(3)
PaCo2N | GGA-PBE | relaxed

Cell: 6.5683 6.5683 6.5683 Å, 27.84 27.84 27.84°
Closest atoms and distances in Å follow each position.
Fractional coordinates of all 4 atoms:
Pa: 0.0000 0.0000 0.0000  2 Co 2.28
Co: 0.1206 0.1206 0.1206  3 N 2.02
Co: 0.8794 0.8794 0.8794  3 N 2.02
N: 0.5000 0.5000 0.5000  6 Co 2.02

Mass density (g cm⁻³): 11.04
Energy relative to the elements, uncorrected (eV per formula unit): 1.34
Crystal system: trigonal
Total moment (μB/atom): 0.0001
Symmetry: R-3m (166)



(4)
LaGd3Cu | GGA-PBE | relaxed

Cell: 5.4784 5.4784 5.4784 Å, 90.00 90.00 90.00°
Closest atoms and distances in Å follow each position.
Fractional coordinates of all 5 atoms:
La: 0.0000 0.0000 0.0000  12 Gd 3.87
Gd: 0.0000 0.5000 0.5000  2 Cu 2.74
Gd: 0.5000 0.0000 0.5000  2 Cu 2.74
Gd: 0.5000 0.5000 0.0000  2 Cu 2.74
Cu: 0.5000 0.5000 0.5000  6 Gd 2.74

Mass density (g cm⁻³): 6.81
Crystal system: cubic
Total moment (μB/atom): 4.3350
Symmetry: Pm-3m (221)
Energy relative to the elements (meV/atom): 92



(5)
NaGaAgGe | GGA-PBE | relaxed

Cell: 4.8014 4.8014 4.8014 Å, 60.00 60.00 60.00°
Closest atoms and distances in Å follow each position.
Fractional coordinates of all 4 atoms:
Na: 0.0000 0.0000 0.0000  4 Ga 2.94, 4 Ag 2.94
Ga: 0.7500 0.7500 0.7500  4 Ge 2.94, 4 Na 2.94
Ag: 0.2500 0.2500 0.2500  4 Ge 2.94, 4 Na 2.94
Ge: 0.5000 0.5000 0.5000  4 Ga 2.94, 4 Ag 2.94

Mass density (g cm⁻³): 5.80
Crystal system: cubic
Total moment (μB/atom): 0.0000
Symmetry: F-43m (216)
Energy relative to the elements (meV/atom): 64



(6)
Ca2AsRu | GGA-PBE | relaxed

Cell: 3.4886 3.9227 6.1750 Å, 90.00 90.13 90.00°
Closest atoms and distances in Å follow each position.
Fractional coordinates of all 4 atoms:
Ca: 0.0010 0.0000 0.2512  4 Ru 3.04-3.05, 4 As 3.05, 2 Ca 3.07-3.10
Ca: 0.9990 0.0000 0.7488  4 Ru 3.04-3.05, 4 As 3.05, 2 Ca 3.07-3.10
As: 0.5000 0.5000 0.0000  8 Ca 3.05, 2 Ru 3.09
Ru: 0.5000 0.5000 0.5000  8 Ca 3.04-3.05, 2 As 3.09

Mass density (g cm⁻³): 5.03
Crystal system: monoclinic
Total moment (μB/atom): 0.0950
Symmetry: P2/m (10)
Energy relative to the elements (meV/atom): -201



(7)
Cs2U3ZnS8 | GGA-PBE | relaxed

Cell: 9.7300 9.7300 9.7300 Å, 48.65 48.65 48.65°
Closest atoms and distances in Å follow each position.
Fractional coordinates of all 14 atoms:
Cs: 0.0000 0.0000 0.0000  4 S 3.37-3.43
Cs: 0.3543 0.3543 0.3543  6 S 3.52-3.64
U: 0.3551 0.3551 0.8594  6 S 2.64-2.78
U: 0.3551 0.8594 0.3551  6 S 2.64-2.78
U: 0.8594 0.3551 0.3551  6 S 2.64-2.78
Zn: 0.8062 0.8062 0.8062  3 S 2.32
S: 0.0917 0.0916 0.5526  2 U 2.64
S: 0.0917 0.5526 0.0917  2 U 2.64
S: 0.1303 0.6306 0.6306  1 Zn 2.32
S: 0.1338 0.1338 0.1338  3 U 2.71
S: 0.5526 0.0916 0.0916  2 U 2.64
S: 0.5768 0.5768 0.5768  3 U 2.71
S: 0.6306 0.1303 0.6306  1 Zn 2.32
S: 0.6306 0.6306 0.1303  1 Zn 2.32

Mass density (g cm⁻³): 4.54
Energy relative to the elements, uncorrected (eV per formula unit): -17.90
Crystal system: trigonal
Total moment (μB/atom): 0.4286
Symmetry: R3m (160)



(8)
Ac4HfTh3N8 | GGA-PBE | relaxed

Cell: 7.5045 7.5045 7.5045 Å, 58.56 58.56 58.56°
Closest atoms and distances in Å follow each position.
Fractional coordinates of all 16 atoms:
Ac: 0.0000 0.0000 0.0000  6 N 2.91
Ac: 0.0000 0.5000 0.5000  6 N 2.75-2.77
Ac: 0.5000 0.0000 0.5000  6 N 2.75-2.77
Ac: 0.5000 0.5000 0.0000  6 N 2.75-2.77
Hf: 0.5000 0.5000 0.5000  6 N 2.35
Th: 0.0000 0.0000 0.5000  6 N 2.49-2.53
Th: 0.0000 0.5000 0.0000  6 N 2.49-2.53
Th: 0.5000 0.0000 0.0000  6 N 2.49-2.53
N: 0.2373 0.2373 0.2373  3 Th 2.49, 3 Ac 2.77
N: 0.2570 0.7234 0.7234  1 Hf 2.35, 2 Th 2.53
N: 0.2766 0.2766 0.7430  1 Hf 2.35, 2 Th 2.53
N: 0.2766 0.7430 0.2766  1 Hf 2.35, 2 Th 2.53
N: 0.7234 0.2570 0.7234  1 Hf 2.35, 2 Th 2.53
N: 0.7234 0.7234 0.2570  1 Hf 2.35, 2 Th 2.53
N: 0.7430 0.2766 0.2766  1 Hf 2.35, 2 Th 2.53
N: 0.7627 0.7627 0.7627  3 Th 2.49, 3 Ac 2.77

Mass density (g cm⁻³): 10.89
Energy relative to the elements, uncorrected (eV per formula unit): -21.54
Crystal system: trigonal
Total moment (μB/atom): 0.0000
Symmetry: R-3m (166)



(9)
MgC3 | GGA-PBE | relaxed

Cell: 5.5112 5.5112 5.5112 Å, 27.85 27.85 27.85°
Closest atoms and distances in Å follow each position.
Fractional coordinates of all 4 atoms:
Mg: 0.0000 0.0000 0.0000  6 C 2.30
C: 0.2252 0.2252 0.2252  3 C 1.79
C: 0.5000 0.5000 0.5000  6 C 1.79
C: 0.7748 0.7748 0.7748  3 C 1.79

Mass density (g cm⁻³): 3.11
Crystal system: trigonal
Total moment (μB/atom): 0.0070
Symmetry: R-3m (166)
Energy relative to the elements (meV/atom): 1984



(10)
Y2Mg2Ti | GGA-PBE | relaxed

Cell: 7.4114 7.4114 4.8806 Å, 90.00 90.00 90.00°
Closest atoms and distances in Å follow each position.
Fractional coordinates of all 10 atoms:
Y: 0.1771 0.3229 0.0000  6 Mg 3.14-3.37
Y: 0.3229 0.8229 0.0000  6 Mg 3.14-3.37
Y: 0.6771 0.1771 0.0000  6 Mg 3.14-3.37
Y: 0.8229 0.6771 0.0000  6 Mg 3.14-3.37
Mg: 0.1337 0.6337 0.5000  1 Mg 2.80, 2 Ti 2.89
Mg: 0.3663 0.1337 0.5000  1 Mg 2.80, 2 Ti 2.89
Mg: 0.6337 0.8663 0.5000  1 Mg 2.80, 2 Ti 2.89
Mg: 0.8663 0.3663 0.5000  1 Mg 2.80, 2 Ti 2.89
Ti: 0.0000 0.0000 0.5000  4 Mg 2.89
Ti: 0.5000 0.5000 0.5000  4 Mg 2.89

Mass density (g cm⁻³): 3.40
Crystal system: tetragonal
Total moment (μB/atom): 0.3555
Symmetry: P4/mbm (127)
Energy relative to the elements (meV/atom): 251



(11)
TlCd2InNi | GGA-PBE | relaxed

Cell: 5.0925 5.0925 4.9331 Å, 90.00 90.00 90.00°
Closest atoms and distances in Å follow each position.
Fractional coordinates of all 5 atoms:
Tl: 0.0000 0.0000 0.0000  8 Cd 3.55, 4 In 3.60
Cd: 0.0000 0.5000 0.5000  2 Ni 2.55
Cd: 0.5000 0.0000 0.5000  2 Ni 2.55
In: 0.5000 0.5000 0.0000  2 Ni 2.47
Ni: 0.5000 0.5000 0.5000  2 In 2.47, 4 Cd 2.55

Mass density (g cm⁻³): 7.82
Crystal system: tetragonal
Total moment (μB/atom): 0.0000
Symmetry: P4/mmm (123)
Energy relative to the elements (meV/atom): 44



(12)
NbTlSe2 | GGA-PBE | relaxed

Cell: 3.5611 6.3713 8.9506 Å, 92.07 100.95 90.06°
Closest atoms and distances in Å follow each position.
Fractional coordinates of all 8 atoms:
Nb: 0.0000 0.0000 0.0000  6 Se 2.63-2.79
Nb: 0.4958 0.3842 0.9927  6 Se 2.62-2.79
Tl: 0.2314 0.4015 0.4462  3 Se 3.01-3.31
Tl: 0.7960 0.8731 0.5728  3 Se 3.06-3.12
Se: 0.0701 0.6207 0.1493  3 Nb 2.68-2.79
Se: 0.4244 0.7629 0.8423  3 Nb 2.69-2.79
Se: 0.5996 0.1091 0.2081  3 Nb 2.63
Se: 0.8963 0.2759 0.7849  3 Nb 2.62-2.63

Mass density (g cm⁻³): 7.59
Energy relative to the elements, uncorrected (eV per formula unit): -2.65
Crystal system: triclinic
Total moment (μB/atom): 0.0000
Symmetry: P1 (1)



(13)
Nb2Zn2Hg | GGA-PBE | relaxed

Cell: 6.7128 6.7128 3.8254 Å, 90.00 90.00 90.00°
Closest atoms and distances in Å follow each position.
Fractional coordinates of all 10 atoms:
Nb: 0.1685 0.3315 0.0000  6 Zn 2.72-2.77
Nb: 0.3315 0.8315 0.0000  6 Zn 2.72-2.77
Nb: 0.6685 0.1685 0.0000  6 Zn 2.72-2.77
Nb: 0.8315 0.6685 0.0000  6 Zn 2.72-2.77
Zn: 0.1276 0.6276 0.5000  1 Zn 2.42, 2 Hg 2.64
Zn: 0.3724 0.1276 0.5000  1 Zn 2.42, 2 Hg 2.64
Zn: 0.6276 0.8724 0.5000  1 Zn 2.42, 2 Hg 2.64
Zn: 0.8724 0.3724 0.5000  1 Zn 2.42, 2 Hg 2.64
Hg: 0.0000 0.0000 0.5000  4 Zn 2.64
Hg: 0.5000 0.5000 0.5000  4 Zn 2.64

Mass density (g cm⁻³): 9.96
Crystal system: tetragonal
Total moment (μB/atom): 0.0000
Symmetry: P4/mbm (127)
Energy relative to the elements (meV/atom): 173



(14)
Tl2Sn3Se5 | GGA-PBE | relaxed

Cell: 8.1138 8.1138 11.1827 Å, 122.85 122.85 30.31°
Closest atoms and distances in Å follow each position.
Fractional coordinates of all 10 atoms:
Tl: 0.1695 0.1695 0.2668  7 Se 3.32-3.58
Tl: 0.8305 0.8305 0.7332  7 Se 3.32-3.58
Sn: 0.0000 0.0000 0.5000  6 Se 2.99-3.04
Sn: 0.4094 0.4094 0.1493  4 Se 2.71-2.75
Sn: 0.5906 0.5906 0.8507  4 Se 2.71-2.75
Se: 0.1849 0.1849 0.8134  3 Sn 2.75-3.04
Se: 0.4100 0.4100 0.5864  3 Sn 2.71-2.99
Se: 0.5000 0.5000 0.0000  2 Sn 2.73
Se: 0.5900 0.5900 0.4136  3 Sn 2.71-2.99
Se: 0.8151 0.8151 0.1866  3 Sn 2.75-3.04

Mass density (g cm⁻³): 6.27
Energy relative to the elements, uncorrected (eV per formula unit): -3.93
Crystal system: monoclinic
Total moment (μB/atom): 0.0000
Symmetry: C2/m (12)



(15)
TlCuPbBr4 | GGA-PBE | relaxed

Cell: 6.8705 7.7353 9.0550 Å, 90.00 108.61 90.00°
Closest atoms and distances in Å follow each position.
Fractional coordinates of all 14 atoms:
Tl: 0.2485 0.2500 0.0593  6 Br 3.25-3.54
Tl: 0.7515 0.7500 0.9407  6 Br 3.25-3.54
Cu: 0.1998 0.7500 0.3120  4 Br 2.44-2.50
Cu: 0.8002 0.2500 0.6880  4 Br 2.44-2.50
Pb: 0.2176 0.2500 0.5541  6 Br 2.99-3.17
Pb: 0.7824 0.7500 0.4459  6 Br 2.99-3.17
Br: 0.0135 0.5089 0.7311  1 Cu 2.44
Br: 0.0135 0.9911 0.7311  1 Cu 2.44
Br: 0.4271 0.7500 0.1449  1 Cu 2.50
Br: 0.4418 0.7500 0.5846  1 Cu 2.50
Br: 0.5582 0.2500 0.4154  1 Cu 2.50
Br: 0.5729 0.2500 0.8551  1 Cu 2.50
Br: 0.9865 0.0089 0.2689  1 Cu 2.44
Br: 0.9865 0.4911 0.2689  1 Cu 2.44

Mass density (g cm⁻³): 5.79
Energy relative to the elements, uncorrected (eV per formula unit): -4.88
Crystal system: monoclinic
Total moment (μB/atom): 0.0181
Symmetry: P2_1/m (11)



(16)
Ce3Ag2C | GGA-PBE | relaxed

Cell: 8.1243 8.1243 3.4825 Å, 90.00 90.00 143.83°
Closest atoms and distances in Å follow each position.
Fractional coordinates of all 6 atoms:
Ce: 0.0000 0.0000 0.0000  2 C 2.52
Ce: 0.3842 0.6158 0.5000  2 C 2.50
Ce: 0.6158 0.3842 0.5000  2 C 2.50
Ag: 0.2027 0.7973 0.0000  2 Ag 2.91, 1 Ce 3.13
Ag: 0.7973 0.2027 0.0000  2 Ag 2.91, 1 Ce 3.13
C: 0.5000 0.5000 0.0000  6 Ce 2.50-2.52

Mass density (g cm⁻³): 7.93
Crystal system: orthorhombic
Total moment (μB/atom): 0.2705
Symmetry: Cmmm (65)
Energy relative to the elements (meV/atom): -152



(17)
Nd5Rh4Au | GGA-PBE | relaxed

Cell: 3.5643 3.5643 18.0722 Å, 90.00 90.00 90.00°
Closest atoms and distances in Å follow each position.
Fractional coordinates of all 10 atoms:
Nd: 0.0000 0.0000 0.0000  8 Rh 3.08
Nd: 0.0000 0.0000 0.1950  8 Rh 3.07-3.10
Nd: 0.0000 0.0000 0.3885  4 Rh 3.03, 4 Au 3.23
Nd: 0.0000 0.0000 0.6115  4 Rh 3.03, 4 Au 3.23
Nd: 0.0000 0.0000 0.8050  8 Rh 3.07-3.10
Rh: 0.5000 0.5000 0.0981  8 Nd 3.07-3.08
Rh: 0.5000 0.5000 0.2951  8 Nd 3.03-3.10
Rh: 0.5000 0.5000 0.7049  8 Nd 3.03-3.10
Rh: 0.5000 0.5000 0.9019  8 Nd 3.07-3.08
Au: 0.5000 0.5000 0.5000  8 Nd 3.23, 4 Au 3.56

Mass density (g cm⁻³): 9.62
Crystal system: tetragonal
Total moment (μB/atom): 0.0000
Symmetry: P4/mmm (123)
Energy relative to the elements (meV/atom): -668



(18)
Rb2NaZnF5 | GGA-PBE | relaxed

Cell: 7.2093 7.2093 6.7097 Å, 90.00 90.00 90.00°
Closest atoms and distances in Å follow each position.
Fractional coordinates of all 18 atoms:
Rb: 0.1715 0.3285 0.0000  4 F 2.67-2.79
Rb: 0.3285 0.8285 0.0000  4 F 2.67-2.79
Rb: 0.6715 0.1715 0.0000  4 F 2.67-2.79
Rb: 0.8285 0.6715 0.0000  4 F 2.67-2.79
Na: 0.0000 0.0000 0.5000  10 F 3.09-3.35
Na: 0.5000 0.5000 0.5000  10 F 3.09-3.35
Zn: 0.0000 0.5000 0.5000  4 F 1.95
Zn: 0.5000 0.0000 0.5000  4 F 1.95
F: 0.0000 0.0000 0.0000  4 Rb 2.67
F: 0.1399 0.6399 0.3022  1 Zn 1.95
F: 0.1399 0.6399 0.6978  1 Zn 1.95
F: 0.3601 0.1399 0.3022  1 Zn 1.95
F: 0.3601 0.1399 0.6978  1 Zn 1.95
F: 0.5000 0.5000 0.0000  4 Rb 2.67
F: 0.6399 0.8601 0.3022  1 Zn 1.95
F: 0.6399 0.8601 0.6978  1 Zn 1.95
F: 0.8601 0.3601 0.3022  1 Zn 1.95
F: 0.8601 0.3601 0.6978  1 Zn 1.95

Mass density (g cm⁻³): 3.37
Energy relative to the elements, uncorrected (eV per formula unit): -21.64
Crystal system: tetragonal
Total moment (μB/atom): 0.0053
Symmetry: P4/mbm (127)



(19)
NiOs | GGA-PBE | relaxed

Cell: 6.4695 6.4695 6.4695 Å, 90.00 90.00 90.00°
Closest atoms and distances in Å follow each position.
Fractional coordinates of all 12 atoms:
Ni: 0.0000 0.2500 0.5000  4 Os 2.29
Ni: 0.0000 0.7500 0.5000  4 Os 2.29
Ni: 0.2500 0.5000 0.0000  4 Os 2.29
Ni: 0.5000 0.0000 0.2500  4 Os 2.29
Ni: 0.5000 0.0000 0.7500  4 Os 2.29
Ni: 0.7500 0.5000 0.0000  4 Os 2.29
Os: 0.0000 0.5000 0.2500  4 Ni 2.29
Os: 0.0000 0.5000 0.7500  4 Ni 2.29
Os: 0.2500 0.0000 0.5000  4 Ni 2.29
Os: 0.5000 0.2500 0.0000  4 Ni 2.29
Os: 0.5000 0.7500 0.0000  4 Ni 2.29
Os: 0.7500 0.0000 0.5000  4 Ni 2.29

Mass density (g cm⁻³): 9.16
Crystal system: cubic
Total moment (μB/atom): 0.1768
Symmetry: Pm-3n (223)
Energy relative to the elements (meV/atom): 1862



(20)
CaZr2Pt | GGA-PBE | relaxed

Cell: 3.3217 3.3217 8.6978 Å, 90.00 90.00 90.00°
Closest atoms and distances in Å follow each position.
Fractional coordinates of all 4 atoms:
Ca: 0.0000 0.0000 0.0000  4 Pt 3.12, 4 Ca 3.32
Zr: 0.0000 0.0000 0.4142  4 Pt 2.82, 4 Zr 3.13
Zr: 0.5000 0.5000 0.6516  8 Zr 3.13-3.32
Pt: 0.5000 0.5000 0.2355  4 Zr 2.82, 4 Ca 3.12

Mass density (g cm⁻³): 7.23
Crystal system: tetragonal
Total moment (μB/atom): 0.0000
Symmetry: P4mm (99)
Energy relative to the elements (meV/atom): -458